1.
A plane-wave DFT calculation with PBE-GGA was carried out for an optimized crystal structure of Mn4Al3V2.

Geometry as extended XYZ:
```
9
Lattice="-0.122 2.983 2.874 -0.527 -3.960 1.101 7.381 -0.695 1.034" Properties=species:S:1:pos:R:3 pbc="T T T"
Mn 0.513 0.596 2.391
Mn 4.805 -0.453 0.673
Mn 1.928 -1.220 4.335
Mn 6.220 -2.268 2.618
Al 3.802 -2.041 2.279
Al 0.000 0.000 0.000
Al 2.930 0.368 2.729
V 1.175 -1.793 1.911
V 5.558 0.121 3.098
```

---

2.
A plane-wave DFT calculation with PBE-GGA was carried out for an optimized crystal structure of MnAl2V2.

Geometry as extended XYZ:
```
10
Lattice="-1.739 3.662 -0.160 -1.747 -0.672 3.599 8.816 2.042 2.375" Properties=species:S:1:pos:R:3 pbc="T T T"
Mn -1.743 1.495 1.720
Mn 2.663 1.432 3.847
Al 2.846 3.790 4.376
Al 0.183 2.357 0.529
Al 5.151 4.842 3.405
Al 2.484 1.242 1.438
V 5.129 2.665 5.274
V 0.723 2.728 3.147
V 4.607 2.304 2.667
V 0.197 0.199 2.419
```

## Properties
distance to the lowest polymorph of the same formula: 88.8 meV per atom

---

3.
A plane-wave DFT calculation with PBE-GGA was carried out for an optimized crystal structure of Mn3AlV.

Geometry as extended XYZ:
```
5
Lattice="-3.833 -2.225 0.169 -0.019 -0.303 -4.425 2.231 -3.825 0.252" Properties=species:S:1:pos:R:3 pbc="T T T"
Mn -0.010 -0.152 -2.213
Mn 1.116 -1.913 0.126
Mn -1.917 -1.113 0.085
Al 0.000 0.000 0.000
V -0.811 -3.177 -2.002
```

## Properties
distance to the lowest polymorph of the same formula: 195.1 meV per atom

---

4.
A plane-wave DFT calculation with PBE-GGA was carried out for an optimized crystal structure of Mn3AlV.

Geometry as extended XYZ:
```
5
Lattice="-0.252 0.648 4.258 1.296 -4.057 0.694 4.108 1.320 0.043" Properties=species:S:1:pos:R:3 pbc="T T T"
Mn 0.648 -2.028 0.347
Mn 2.054 0.660 0.021
Mn -0.126 0.324 2.129
Al 2.576 -1.045 2.497
V 0.000 0.000 0.000
```

## Properties
distance to the lowest polymorph of the same formula: 0.0 meV per atom

---

5.
A plane-wave DFT calculation with PBE-GGA was carried out for an optimized crystal structure of MnAl3V.

Geometry as extended XYZ:
```
20
Lattice="6.797 -0.211 -0.158 0.189 6.657 -0.764 0.189 1.148 6.602" Properties=species:S:1:pos:R:3 pbc="T T T"
Mn 6.530 4.998 5.118
Mn 4.044 1.167 2.253
Mn 0.645 2.596 0.562
Mn 3.131 6.427 3.427
Al 4.428 6.533 5.770
Al 6.146 0.107 0.964
Al 2.747 1.061 -0.090
Al 1.030 7.487 4.715
Al 4.921 2.637 0.230
Al 5.653 6.523 3.136
Al 2.255 4.956 5.450
Al 1.522 1.071 2.544
Al 4.309 4.073 3.930
Al 6.265 2.568 2.805
Al 2.867 3.521 1.749
Al 0.910 5.026 2.875
V 1.889 5.599 0.540
V 5.287 1.994 5.140
V 1.889 2.845 4.223
V 5.287 4.749 1.457
```

## Properties
distance to the lowest polymorph of the same formula: 0.0 meV per atom

---

6.
A plane-wave DFT calculation with PBE-GGA was carried out for an optimized crystal structure of MnAl2V2.

Geometry as extended XYZ:
```
10
Lattice="-2.507 -2.821 1.284 2.741 -2.737 -0.942 3.578 -0.721 8.409" Properties=species:S:1:pos:R:3 pbc="T T T"
Mn -1.195 -2.800 0.727
Mn 1.429 -2.758 -0.386
Al 2.709 -2.514 2.641
Al 1.103 -3.766 6.108
Al 0.085 -2.556 3.754
Al 3.726 -3.724 4.996
V 3.193 -5.000 7.340
V 0.735 -4.059 1.580
V 3.076 -2.221 7.170
V 0.618 -1.280 1.410
```

## Properties
distance to the lowest polymorph of the same formula: 0.0 meV per atom

---

no.,E (eV per atom),formation energy from the elements (eV/atom),total magnetization (μB per formula unit)
1,-7.636,-0.287,1.18
2,-7.014,-0.036,0.00
3,-6.997,1.077,6.05
4,-7.192,0.882,6.02
5,-5.838,0.065,2.06
6,-7.103,-0.124,0.00